Below is a relaxed structure of HgBi2N, with properties calculated at the PBE level.

Cell: 7.336 3.410 8.194 Å, 90.00 106.10 90.00°
Space group P2_1/m (No. 11)
One atom of each set of equivalent atoms:
Hg 0.057 0.250 0.314
Bi 0.276 0.250 0.996
Bi 0.377 0.750 0.611
N 0.490 0.250 0.839

Results
ΔE to the lowest computed polymorph: 0 kJ/mol of formula units



Below is a relaxed structure of HgBiN3, with properties calculated at the PBE level.

Cell: 4.223 4.223 4.223 Å, 90.00 90.00 90.00°
Space group Pm-3m (No. 221)
One atom of each set of equivalent atoms:
Hg 0.000 0.000 0.000
Bi 0.500 0.500 0.500
N 0.000 0.000 0.500

Results
Final energy: -18.05 eV for the cell shown